1.
DFT (PBE-GGA) results for an optimized crystal structure of Be2BTeI.

Cell and atoms, written as POSCAR:
```
Be2BTeI
1.0
-0.4798 -3.8723 -1.4269
3.0481 0.6359 -2.7506
3.8921 -1.9089 3.8717
I Be B Te
1 2 1 1
Direct
0.0000 0.0000 0.5000
0.0000 0.5000 0.0000
0.5000 0.0000 0.0000
0.0000 0.0000 0.0000
0.5000 0.5000 0.5000
```

Energy relative to the elements, uncorrected   894 meV per atom
Calculated volume   100 Å³ per cell

2.
DFT (PBE-GGA) results for an optimized crystal structure of BeZn2BI.

Cell and atoms, written as POSCAR:
```
BeZn2BI
1.0
4.9322 0.0000 0.0000
0.0000 3.6534 0.0000
0.0000 0.0000 4.9322
I Be Zn B
1 1 2 1
Direct
0.5000 0.5000 0.5000
0.0000 0.0000 0.0000
0.0000 0.0000 0.5000
0.5000 0.0000 0.0000
0.0000 0.5000 0.0000
```

Energy relative to the elements, uncorrected   652 meV per atom
Calculated volume   89 Å³ per cell

What is the energy relative to the elements, uncorrected in the first record?
894 meV per atom

Among the records above, which one has the lowest energy relative to the elements, uncorrected?
BeZn2BI

Among the records above, which one has the highest energy relative to the elements, uncorrected?
Be2BTeI

What did the first record say?
DFT (PBE-GGA) results for an optimized crystal structure of Be2BTeI.

Cell and atoms, written as POSCAR:
```
Be2BTeI
1.0
-0.4798 -3.8723 -1.4269
3.0481 0.6359 -2.7506
3.8921 -1.9089 3.8717
I Be B Te
1 2 1 1
Direct
0.0000 0.0000 0.5000
0.0000 0.5000 0.0000
0.5000 0.0000 0.0000
0.0000 0.0000 0.0000
0.5000 0.5000 0.5000
```

Energy relative to the elements, uncorrected   894 meV per atom
Calculated volume   100 Å³ per cell